No. 1
The following is a PBE calculation of a relaxed Ba2ReHg2 crystal, from Alexandria via LeMat-Bulk.

```
Ba2ReHg2
1.0
7.5520 0.0000 0.0000
0.0000 7.5520 0.0000
0.0000 0.0000 5.4287
Hg Ba Re
4 4 2
direct
0.1479 0.3521 0.0000
0.6479 0.1479 0.0000
0.3521 0.8521 0.0000
0.8521 0.6479 0.0000
0.8209 0.3209 0.5000
0.1791 0.6791 0.5000
0.3209 0.1791 0.5000
0.6791 0.8209 0.5000
0.5000 0.5000 0.0000
0.0000 0.0000 0.0000
```

Values from the calculation:
Density of states at the Fermi level ... 13.6 states/eV/cell
Energy of formation ... 476.5 meV/atom
Polymorph energy (0 for the lowest one) ... 0 meV per atom
Electronic total energy ... -2.90 eV per atom
Crystal system ... tetragonal

=====

No. 2
The following is a PBE calculation of a relaxed LiZnOF2 crystal, from Alexandria via LeMat-Bulk.

```
LiZnOF2
1.0
3.5319 0.0000 0.0000
0.0000 3.5319 0.0000
0.0000 0.0000 3.9804
O Li F Zn
1 1 2 1
direct
0.0000 0.0000 0.5000
0.0000 0.0000 0.0000
0.5000 0.0000 0.0000
0.0000 0.5000 0.0000
0.5000 0.5000 0.5000
```

Values from the calculation:
Density of states at the Fermi level ... 0.4 states/eV/cell
Uncorrected formation energy ... -1.317 eV per atom
Polymorph energy (0 for the lowest one) ... 309 meV per atom
Electronic total energy ... -3.69 eV per atom
Crystal system ... tetragonal

=====

No. 3
The following is a PBE calculation of a relaxed Ca3Ni crystal, from Alexandria via LeMat-Bulk.

```
Ca3Ni
1.0
-0.0834 4.0031 2.4621
-1.7899 -2.2995 3.6780
5.4068 -1.0875 1.9512
Ca Ni
3 1
direct
0.5000 0.0000 0.4427
0.0000 0.0000 0.9746
0.5000 0.5000 0.9751
0.0000 0.5000 0.2743
```

Values from the calculation:
Density of states at the Fermi level ... 4.2 states/eV/cell
Energy of formation ... 202.6 meV/atom
Electronic total energy ... -2.74 eV per atom
Crystal system ... tetragonal

=====

No. 4
The following is a PBE calculation of a relaxed LaDy2Ho4Sc crystal, from Alexandria via LeMat-Bulk.

```
LaDy2Ho4Sc
1.0
9.1914 -0.0387 -1.7321
-0.0452 9.1912 -1.7321
-5.7796 -5.7835 8.2106
Ho Sc Dy La
8 2 4 2
direct
0.7578 0.7416 0.9999
0.2436 0.7431 0.4944
0.2422 0.2584 0.0001
0.7584 0.7423 0.5001
0.2431 0.7436 0.9944
0.7569 0.2564 0.0056
0.2416 0.2577 0.4999
0.7564 0.2569 0.5056
0.0000 0.5000 0.0000
0.0000 0.5000 0.5000
0.0000 0.0000 0.5000
0.5000 0.5000 0.0000
0.5000 0.0000 0.5000
0.5000 0.0000 0.0000
0.5000 0.5000 0.5000
0.0000 0.0000 0.0000
```

Values from the calculation:
Density of states at the Fermi level ... 37.6 states/eV/cell
Energy of formation ... 428.3 meV/atom
Electronic total energy ... -4.42 eV per atom
Crystal system ... monoclinic